No. 1
A relaxed BaLi2InH crystal, computed with PBE.

## Properties
As for the symmetry: P4/mmm. The value obtained for the energy relative to the lowest polymorph listed for this composition is 0 meV/atom.

Geometry as POSCAR:
```
BaLi2InH
1.0
4.9131 0.0000 0.0000
0.0000 4.9131 0.0000
0.0000 0.0000 5.2278
In Ba Li H
1 1 2 1
Cartesian
2.4565 2.4565 2.6139 In
0.0000 0.0000 2.6139 Ba
2.4565 0.0000 0.0000 Li
0.0000 2.4565 0.0000 Li
0.0000 0.0000 0.0000 H
```

No. 2
A relaxed Th2TaGa crystal, computed with PBE.

## Properties
As for the symmetry: R-3m. The calculation puts the energy of formation at 0.4469 eV per atom.

Geometry as POSCAR:
```
Th2TaGa
1.0
-1.0544 -1.9063 -2.4243
2.1394 -1.6417 -1.8305
-0.2323 -9.7973 5.6139
Ta Th Ga
1 2 1
Cartesian
0.0000 0.0000 0.0000 Ta
0.9269 -5.8416 -2.3826 Th
-0.0741 -7.5037 3.7416 Th
0.4264 -6.6727 0.6795 Ga
```

No. 3
A relaxed Hf3Zn7Au2 crystal, computed with PBE.

## Properties
As for the symmetry: P2/m. The calculation puts the energy of formation at -0.1705 eV per atom.

Geometry as POSCAR:
```
Hf3Zn7Au2
1.0
-1.8843 -2.5713 1.2804
2.6530 -0.2904 3.3211
-9.3003 9.5589 5.5098
Au Zn Hf
2 7 3
Cartesian
-1.8731 1.2315 4.3253 Au
-6.6585 5.4657 5.7860 Au
-6.7870 8.0149 6.1077 Zn
0.1396 1.2537 2.7232 Zn
-3.2863 2.9023 5.6009 Zn
0.0000 0.0000 0.0000 Zn
-6.3068 6.4712 8.3229 Zn
-2.2248 0.2260 1.7883 Zn
-5.2454 3.7949 4.5104 Zn
-3.6640 5.7473 6.1498 Hf
-2.9833 3.5213 2.6811 Hf
0.3843 -1.4309 2.3007 Hf
```

Number 1: energy -2.489 eV per atom, spin magnetization 0.01 μB/cell. Number 2: energy -6.983 eV per atom, spin magnetization 0.00 μB/cell. Number 3: energy -3.948 eV per atom, spin magnetization 0.00 μB/cell.